No. 1
First-principles (PBE) data for Pr2PuMnN4 after structural relaxation, as listed in Alexandria.

Cell and atoms, written as POSCAR:
```
Pr2PuMnN4
1.0
1.728 -5.870 0.000
1.728 5.870 0.000
0.000 0.000 12.328
Pr Pu Mn N
4 2 2 8
direct
0.132 0.868 0.546 Pr
0.132 0.868 0.954 Pr
0.868 0.132 0.046 Pr
0.868 0.132 0.454 Pr
0.390 0.610 0.750 Pu
0.610 0.390 0.250 Pu
0.331 0.669 0.250 Mn
0.669 0.331 0.750 Mn
0.080 0.920 0.750 N
0.222 0.778 0.141 N
0.222 0.778 0.359 N
0.500 0.500 0.000 N
0.500 0.500 0.500 N
0.778 0.222 0.641 N
0.778 0.222 0.859 N
0.920 0.080 0.250 N
```

***

No. 2
First-principles (PBE) data for PrPuMnN3 after structural relaxation, as listed in Alexandria.

Cell and atoms, written as POSCAR:
```
PrPuMnN3
1.0
7.303 0.000 0.000
0.000 3.425 0.000
-1.173 0.000 7.270
Pr Pu Mn N
2 2 2 6
direct
0.195 0.250 0.176 Pr
0.805 0.750 0.824 Pr
0.175 0.250 0.645 Pu
0.825 0.750 0.355 Pu
0.410 0.750 0.920 Mn
0.590 0.250 0.080 Mn
0.137 0.750 0.420 N
0.153 0.750 0.866 N
0.499 0.250 0.831 N
0.501 0.750 0.169 N
0.847 0.250 0.134 N
0.863 0.250 0.580 N
```

***

No. 3
First-principles (PBE) data for PrMn2SiN after structural relaxation, as listed in Alexandria.

Cell and atoms, written as POSCAR:
```
PrMn2SiN
1.0
1.887 -5.371 0.000
1.887 5.371 0.000
0.000 0.000 7.072
Pr Mn Si N
2 4 2 2
direct
0.046 0.954 0.750 Pr
0.954 0.046 0.250 Pr
0.334 0.666 0.559 Mn
0.334 0.666 0.941 Mn
0.666 0.334 0.059 Mn
0.666 0.334 0.441 Mn
0.231 0.769 0.250 Si
0.769 0.231 0.750 Si
0.500 0.500 0.000 N
0.500 0.500 0.500 N
```

***

No. 4
First-principles (PBE) data for Pr2SmMn2N6 after structural relaxation, as listed in Alexandria.

Cell and atoms, written as POSCAR:
```
Pr2SmMn2N6
1.0
2.801 1.617 6.085
-2.801 1.617 6.085
0.000 -3.234 6.085
Pr Sm Mn N
2 1 2 6
direct
0.210 0.210 0.210 Pr
0.790 0.790 0.790 Pr
0.000 0.000 0.000 Sm
0.405 0.405 0.405 Mn
0.595 0.595 0.595 Mn
0.237 0.734 0.734 N
0.266 0.266 0.763 N
0.266 0.763 0.266 N
0.734 0.237 0.734 N
0.734 0.734 0.237 N
0.763 0.266 0.266 N
```

***

No. 5
First-principles (PBE) data for Pr2SmMnN4 after structural relaxation, as listed in Alexandria.

Cell and atoms, written as POSCAR:
```
Pr2SmMnN4
1.0
1.749 -5.918 0.000
1.749 5.918 0.000
0.000 0.000 12.245
Pr Sm Mn N
4 2 2 8
direct
0.132 0.868 0.545 Pr
0.132 0.868 0.955 Pr
0.868 0.132 0.045 Pr
0.868 0.132 0.455 Pr
0.392 0.608 0.750 Sm
0.608 0.392 0.250 Sm
0.334 0.666 0.250 Mn
0.666 0.334 0.750 Mn
0.078 0.922 0.750 N
0.224 0.776 0.139 N
0.224 0.776 0.361 N
0.500 0.500 0.000 N
0.500 0.500 0.500 N
0.776 0.224 0.639 N
0.776 0.224 0.861 N
0.922 0.078 0.250 N
```

***

No. 6
First-principles (PBE) data for PrTa2MnN4 after structural relaxation, as listed in Alexandria.

Cell and atoms, written as POSCAR:
```
PrTa2MnN4
1.0
1.566 -5.517 0.000
1.566 5.517 0.000
0.000 0.000 10.906
Pr Ta Mn N
2 4 2 8
direct
0.107 0.893 0.750 Pr
0.893 0.107 0.250 Pr
0.369 0.631 0.557 Ta
0.369 0.631 0.943 Ta
0.631 0.369 0.057 Ta
0.631 0.369 0.443 Ta
0.159 0.841 0.250 Mn
0.841 0.159 0.750 Mn
0.000 0.000 0.000 N
0.000 0.000 0.500 N
0.268 0.732 0.109 N
0.268 0.732 0.391 N
0.442 0.558 0.750 N
0.558 0.442 0.250 N
0.732 0.268 0.609 N
0.732 0.268 0.891 N
```

***

No. 7
First-principles (PBE) data for Pr2ThMn2N6 after structural relaxation, as listed in Alexandria.

Cell and atoms, written as POSCAR:
```
Pr2ThMn2N6
1.0
2.840 1.640 6.054
-2.840 1.640 6.054
0.000 -3.280 6.054
Pr Th Mn N
2 1 2 6
direct
0.209 0.209 0.209 Pr
0.791 0.791 0.791 Pr
0.000 0.000 0.000 Th
0.406 0.406 0.406 Mn
0.594 0.594 0.594 Mn
0.236 0.737 0.737 N
0.263 0.263 0.764 N
0.263 0.764 0.263 N
0.737 0.236 0.737 N
0.737 0.737 0.236 N
0.764 0.263 0.263 N
```

***

No. 8
First-principles (PBE) data for PrTh2MnN4 after structural relaxation, as listed in Alexandria.

Cell and atoms, written as POSCAR:
```
PrTh2MnN4
1.0
1.808 -5.950 0.000
1.808 5.950 0.000
0.000 0.000 12.088
Pr Th Mn N
2 4 2 8
direct
0.098 0.902 0.750 Pr
0.902 0.098 0.250 Pr
0.369 0.631 0.555 Th
0.369 0.631 0.945 Th
0.631 0.369 0.055 Th
0.631 0.369 0.445 Th
0.168 0.832 0.250 Mn
0.832 0.168 0.750 Mn
0.000 0.000 0.000 N
0.000 0.000 0.500 N
0.268 0.732 0.120 N
0.268 0.732 0.380 N
0.442 0.558 0.750 N
0.558 0.442 0.250 N
0.732 0.268 0.620 N
0.732 0.268 0.880 N
```

***

No. 9
First-principles (PBE) data for Pr2ThMnN4 after structural relaxation, as listed in Alexandria.

Cell and atoms, written as POSCAR:
```
Pr2ThMnN4
1.0
1.766 -5.885 0.000
1.766 5.885 0.000
0.000 0.000 12.277
Pr Th Mn N
4 2 2 8
direct
0.131 0.869 0.550 Pr
0.131 0.869 0.950 Pr
0.869 0.131 0.050 Pr
0.869 0.131 0.450 Pr
0.397 0.603 0.750 Th
0.603 0.397 0.250 Th
0.334 0.666 0.250 Mn
0.666 0.334 0.750 Mn
0.055 0.945 0.750 N
0.219 0.781 0.137 N
0.219 0.781 0.363 N
0.500 0.500 0.000 N
0.500 0.500 0.500 N
0.781 0.219 0.637 N
0.781 0.219 0.863 N
0.945 0.055 0.250 N
```

***

No. 10
First-principles (PBE) data for Pr2TiMn2N6 after structural relaxation, as listed in Alexandria.

Cell and atoms, written as POSCAR:
```
Pr2TiMn2N6
1.0
2.834 1.636 5.211
-2.834 1.636 5.211
0.000 -3.273 5.211
Pr Ti Mn N
2 1 2 6
direct
0.224 0.224 0.224 Pr
0.776 0.776 0.776 Pr
0.000 0.000 0.000 Ti
0.436 0.436 0.436 Mn
0.564 0.564 0.564 Mn
0.242 0.242 0.757 N
0.242 0.757 0.242 N
0.243 0.758 0.758 N
0.757 0.242 0.242 N
0.758 0.243 0.758 N
0.758 0.758 0.243 N
```

***

No. 11
First-principles (PBE) data for PrTm2MnN4 after structural relaxation, as listed in Alexandria.

Cell and atoms, written as POSCAR:
```
PrTm2MnN4
1.0
1.693 -5.713 0.000
1.693 5.713 0.000
0.000 0.000 11.397
Pr Tm Mn N
2 4 2 8
direct
0.095 0.905 0.750 Pr
0.905 0.095 0.250 Pr
0.369 0.631 0.545 Tm
0.369 0.631 0.955 Tm
0.631 0.369 0.045 Tm
0.631 0.369 0.455 Tm
0.167 0.833 0.250 Mn
0.833 0.167 0.750 Mn
0.000 0.000 0.000 N
0.000 0.000 0.500 N
0.264 0.736 0.125 N
0.264 0.736 0.375 N
0.417 0.583 0.750 N
0.583 0.417 0.250 N
0.736 0.264 0.625 N
0.736 0.264 0.875 N
```

***

No. 12
First-principles (PBE) data for PrU2MnN4 after structural relaxation, as listed in Alexandria.

Cell and atoms, written as POSCAR:
```
PrU2MnN4
1.0
1.698 -5.801 0.000
1.698 5.801 0.000
0.000 0.000 11.293
Pr U Mn N
2 4 2 8
direct
0.101 0.899 0.750 Pr
0.899 0.101 0.250 Pr
0.368 0.632 0.557 U
0.368 0.632 0.943 U
0.632 0.368 0.057 U
0.632 0.368 0.443 U
0.161 0.839 0.250 Mn
0.839 0.161 0.750 Mn
0.000 0.000 0.000 N
0.000 0.000 0.500 N
0.268 0.732 0.114 N
0.268 0.732 0.386 N
0.436 0.564 0.750 N
0.564 0.436 0.250 N
0.732 0.268 0.614 N
0.732 0.268 0.886 N
```

***

No. 13
First-principles (PBE) data for Pr2YMnN4 after structural relaxation, as listed in Alexandria.

Cell and atoms, written as POSCAR:
```
Pr2YMnN4
1.0
1.723 -5.992 0.000
1.723 5.992 0.000
0.000 0.000 12.120
Pr Y Mn N
4 2 2 8
direct
0.133 0.867 0.542 Pr
0.133 0.867 0.958 Pr
0.867 0.133 0.042 Pr
0.867 0.133 0.458 Pr
0.371 0.629 0.750 Y
0.629 0.371 0.250 Y
0.340 0.660 0.250 Mn
0.660 0.340 0.750 Mn
0.093 0.907 0.750 N
0.227 0.773 0.142 N
0.227 0.773 0.358 N
0.500 0.500 0.000 N
0.500 0.500 0.500 N
0.773 0.227 0.642 N
0.773 0.227 0.858 N
0.907 0.093 0.250 N
```

***

No. 14
First-principles (PBE) data for PrMnZn2N4 after structural relaxation, as listed in Alexandria.

Cell and atoms, written as POSCAR:
```
PrMnZn2N4
1.0
5.335 0.000 0.000
0.000 5.335 0.000
0.000 0.000 7.106
Pr Mn Zn N
2 2 4 8
direct
0.000 0.000 0.000 Pr
0.500 0.500 0.500 Pr
0.000 0.000 0.500 Mn
0.500 0.500 0.000 Mn
0.000 0.500 0.250 Zn
0.000 0.500 0.750 Zn
0.500 0.000 0.250 Zn
0.500 0.000 0.750 Zn
0.195 0.195 0.644 N
0.195 0.805 0.356 N
0.305 0.305 0.144 N
0.305 0.695 0.856 N
0.695 0.305 0.856 N
0.695 0.695 0.144 N
0.805 0.195 0.356 N
0.805 0.805 0.644 N
```

***

No. 15
First-principles (PBE) data for Pr2ZrMn2N6 after structural relaxation, as listed in Alexandria.

Cell and atoms, written as POSCAR:
```
Pr2ZrMn2N6
1.0
2.883 1.664 5.467
-2.883 1.664 5.467
0.000 -3.328 5.467
Pr Zr Mn N
2 1 2 6
direct
0.216 0.216 0.216 Pr
0.784 0.784 0.784 Pr
0.000 0.000 0.000 Zr
0.440 0.440 0.440 Mn
0.560 0.560 0.560 Mn
0.239 0.750 0.750 N
0.250 0.250 0.761 N
0.250 0.761 0.250 N
0.750 0.239 0.750 N
0.750 0.750 0.239 N
0.761 0.250 0.250 N
```

***

No. 16
First-principles (PBE) data for MnPtN3 after structural relaxation, as listed in Alexandria.

Cell and atoms, written as POSCAR:
```
MnPtN3
1.0
3.679 0.000 0.000
0.000 3.679 0.000
0.000 0.000 3.679
Mn Pt N
1 1 3
direct
0.000 0.000 0.000 Mn
0.500 0.500 0.500 Pt
0.000 0.000 0.500 N
0.000 0.500 0.000 N
0.500 0.000 0.000 N
```

***

No. 17
First-principles (PBE) data for Mn6Pt2N after structural relaxation, as listed in Alexandria.

Cell and atoms, written as POSCAR:
```
Mn6Pt2N
1.0
-2.753 2.753 3.857
2.753 -2.753 3.857
2.753 2.753 -3.857
Mn Pt N
6 2 1
direct
0.246 0.246 0.000 Mn
0.249 0.249 0.499 Mn
0.249 0.751 0.000 Mn
0.751 0.249 0.000 Mn
0.751 0.751 0.501 Mn
0.754 0.754 0.000 Mn
0.250 0.750 0.500 Pt
0.750 0.250 0.500 Pt
0.500 0.500 0.000 N
```

***

No. 18
First-principles (PBE) data for Mn21Pt2N6 after structural relaxation, as listed in Alexandria.

Cell and atoms, written as POSCAR:
```
Mn21Pt2N6
1.0
0.000 5.258 5.258
5.258 0.000 5.258
5.258 5.258 0.000
Mn Pt N
21 2 6
direct
0.000 0.000 0.000 Mn
0.000 0.000 0.328 Mn
0.000 0.000 0.672 Mn
0.000 0.328 0.000 Mn
0.000 0.328 0.672 Mn
0.000 0.672 0.000 Mn
0.000 0.672 0.328 Mn
0.161 0.613 0.613 Mn
0.328 0.000 0.000 Mn
0.328 0.000 0.672 Mn
0.328 0.672 0.000 Mn
0.387 0.387 0.387 Mn
0.387 0.387 0.839 Mn
0.387 0.839 0.387 Mn
0.613 0.161 0.613 Mn
0.613 0.613 0.161 Mn
0.613 0.613 0.613 Mn
0.672 0.000 0.000 Mn
0.672 0.000 0.328 Mn
0.672 0.328 0.000 Mn
0.839 0.387 0.387 Mn
0.250 0.250 0.250 Pt
0.750 0.750 0.750 Pt
0.274 0.274 0.726 N
0.274 0.726 0.274 N
0.274 0.726 0.726 N
0.726 0.274 0.274 N
0.726 0.274 0.726 N
0.726 0.726 0.274 N
```

***

No. 19
First-principles (PBE) data for MnPt2N after structural relaxation, as listed in Alexandria.

Cell and atoms, written as POSCAR:
```
MnPt2N
1.0
4.989 0.000 0.000
0.000 4.989 0.000
0.000 0.000 11.185
Mn Pt N
4 8 4
direct
0.000 0.000 0.000 Mn
0.000 0.500 0.250 Mn
0.500 0.000 0.750 Mn
0.500 0.500 0.500 Mn
0.140 0.250 0.625 Pt
0.250 0.640 0.875 Pt
0.250 0.860 0.375 Pt
0.360 0.250 0.125 Pt
0.640 0.750 0.125 Pt
0.750 0.140 0.375 Pt
0.750 0.360 0.875 Pt
0.860 0.750 0.625 Pt
0.000 0.000 0.500 N
0.000 0.500 0.750 N
0.500 0.000 0.250 N
0.500 0.500 0.000 N
```

***

Calculated V (Å³ per atom), listed in the same order as above: 15.6 15.2 14.3 15.0 15.8 11.8 15.4 16.3 16.0 13.2 13.8 13.9 15.6 12.6 14.3 10.0 13.0 10.0 17.4
Calculated calculated total energy (eV for the cell shown), listed in the same order as above: -146.1 -117.5 -81.0 -90.0 -128.2 -157.5 -93.6 -142.7 -135.1 -94.0 -132.3 -158.4 -131.3 -105.1 -94.6 -33.6 -76.5 -255.0 -109.8